Compound: RbBaCa2Pd
Source: Alexandria
Functional: PBE
Structure: relaxed

Space-group type: P4/mmm (123)
Formation energy from the elements: -0.3 eV/f.u.
E_tot: -12.40 eV per formula unit
Total magnetic moment: 0.00 μB per formula unit
E above lowest polymorph: 0.148 eV/atom
N(E_F): 1.039 states/eV/atom

Cell and atoms, written as POSCAR:
```
RbBaCa2Pd
1.0
5.7889 0.0000 0.0000
0.0000 5.7889 0.0000
0.0000 0.0000 6.6336
Rb Ba Ca Pd
1 1 2 1
Cartesian
0.0000 0.0000 0.0000
2.8944 2.8944 0.0000
0.0000 2.8944 3.3168
2.8944 0.0000 3.3168
0.0000 0.0000 3.3168
```